## 1
## YCu3Ru (PBE)

Data for an optimized crystal structure of YCu3Ru.

volume = 98.1 Å³/f.u.
D(E_F) = 0.7819 states/eV per atom

a b c (Å): 4.6122 4.6122 4.6122
angles (deg): 90.00 90.00 90.00
With the nearest neighbours (Å) after each atom.
Atoms (fractional coordinates):
Y: 0.5000 0.5000 0.5000  12 Cu 3.26
Ru: 0.0000 0.0000 0.0000  6 Cu 2.31
Cu: 0.0000 0.5000 0.0000  2 Ru 2.31
Cu: 0.0000 0.0000 0.5000  2 Ru 2.31
Cu: 0.5000 0.0000 0.0000  2 Ru 2.31

---

## 2
## YCu3Ru (PBE)

Data for an optimized crystal structure of YCu3Ru.

volume = 111.2 Å³/f.u.
D(E_F) = 0.4028 states/eV per atom

a b c (Å): 4.8094 4.8094 4.8094
angles (deg): 90.00 90.00 90.00
With the nearest neighbours (Å) after each atom.
Atoms (fractional coordinates):
Y: 0.0000 0.0000 0.0000  6 Cu 2.40
Ru: 0.5000 0.5000 0.5000  12 Cu 3.40
Cu: 0.0000 0.5000 0.0000  2 Y 2.40
Cu: 0.0000 0.0000 0.5000  2 Y 2.40
Cu: 0.5000 0.0000 0.0000  2 Y 2.40

---

The energetic minimum among the shown structures is 1; the next structure lies 1.263 eV/atom above.